Model i:
The following is a SCAN calculation of a PBEsol-optimized structure of SrRhSe2, from Alexandria.

Computed properties:
- SG: R-3m

```
SrRhSe2
1.0
4.096 0.000 0.000
-2.048 3.547 0.000
0.000 0.000 17.787
Sr Rh Se
3 3 6
direct
0.000 0.000 0.000 Sr
0.333 0.667 0.667 Sr
0.667 0.333 0.333 Sr
0.000 0.000 0.500 Rh
0.333 0.667 0.167 Rh
0.667 0.333 0.833 Rh
0.000 0.000 0.226 Se
0.000 0.000 0.774 Se
0.333 0.667 0.441 Se
0.333 0.667 0.893 Se
0.667 0.333 0.107 Se
0.667 0.333 0.559 Se
```

=====

Model ii:
The following is a SCAN calculation of a PBEsol-optimized structure of SrRhSe2, from Alexandria.

Computed properties:
- SG: P4/mmm

```
SrRhSe2
1.0
3.381 0.000 0.000
0.000 3.381 0.000
0.000 0.000 7.062
Sr Rh Se
1 1 2
direct
0.000 0.000 0.000 Sr
0.000 0.000 0.500 Rh
0.500 0.500 0.294 Se
0.500 0.500 0.706 Se
```

=====

Q: Which of them is the least stable? A: model ii.

=====

Model i:
The following is a SCAN calculation of a PBEsol-optimized structure of TcRhSe2, from Alexandria.

Computed properties:
- SG: Imm2

```
TcRhSe2
1.0
3.045 0.000 0.000
0.000 4.304 0.000
0.000 0.000 9.502
Tc Rh Se
2 2 4
direct
0.000 0.000 0.000 Tc
0.500 0.500 0.500 Tc
0.000 0.500 0.789 Rh
0.500 0.000 0.289 Rh
0.000 0.000 0.512 Se
0.000 0.500 0.290 Se
0.500 0.000 0.790 Se
0.500 0.500 0.012 Se
```

=====

Model ii:
The following is a SCAN calculation of a PBEsol-optimized structure of TcRhSe2, from Alexandria.

Computed properties:
- SG: I-4m2

```
TcRhSe2
1.0
3.683 0.000 0.000
0.000 3.683 0.000
0.000 0.000 8.931
Tc Rh Se
2 2 4
direct
0.000 0.000 0.000 Tc
0.500 0.500 0.500 Tc
0.000 0.500 0.250 Rh
0.500 0.000 0.750 Rh
0.000 0.000 0.500 Se
0.000 0.500 0.750 Se
0.500 0.000 0.250 Se
0.500 0.500 0.000 Se
```

=====

Q: Which of them is the least stable? A: model ii.